# 1
Below is H3PtCl at its PBEsol-relaxed geometry, with properties calculated at the meta-GGA SCAN level.

Properties
Total energy in eV per cell: -81.03
Space-group type: No. 221
N(E_F) in states/eV per cell: 1.8

Cell: 3.554 3.554 3.554 Å, 90.00 90.00 90.00°
Positions (direct):
1 H 0.000 0.000 0.500
2 H 0.500 0.000 0.000
3 H 0.000 0.500 0.000
4 Cl 0.000 0.000 0.000
5 Pt 0.500 0.500 0.500

# 2
Below is HPt3Cl at its PBEsol-relaxed geometry, with properties calculated at the meta-GGA SCAN level.

Properties
Total energy in eV per cell: -218.25
Space-group type: No. 221
N(E_F) in states/eV per cell: 5.2

Cell: 4.036 4.036 4.036 Å, 90.00 90.00 90.00°
Positions (direct):
1 Pt 0.500 0.000 0.000
2 Pt 0.000 0.000 0.500
3 Pt 0.000 0.500 0.000
4 Cl 0.500 0.500 0.500
5 H 0.000 0.000 0.000

# 3
Below is Zr2HPtCl at its PBEsol-relaxed geometry, with properties calculated at the meta-GGA SCAN level.

Properties
Total energy in eV per cell: -143.96
Space-group type: No. 123
N(E_F) in states/eV per cell: 3.2

Cell: 3.204 4.924 4.924 Å, 90.00 90.00 90.00°
Positions (direct):
1 H 0.500 0.000 0.000
2 Pt 0.500 0.500 0.500
3 Cl 0.000 0.000 0.000
4 Zr 0.000 0.000 0.500
5 Zr 0.000 0.500 0.000

# 4
Below is RbH3Cl at its PBEsol-relaxed geometry, with properties calculated at the meta-GGA SCAN level.

Properties
Total energy in eV per cell: -35.12
Space-group type: No. 221

Cell: 4.860 4.860 4.860 Å, 90.00 90.00 90.00°
Last column: magnetic moment on the atom in μB.
Positions (direct):
1 H 0.000 0.500 0.000  0.38
2 H 0.500 0.000 0.000  0.38
3 H 0.000 0.000 0.500  0.38
4 Rb 0.000 0.000 0.000  0.13
5 Cl 0.500 0.500 0.500  0.26

# 5
Below is RbHSCl2 at its PBEsol-relaxed geometry, with properties calculated at the meta-GGA SCAN level.

Properties
Total energy in eV per cell: -47.32
Space-group type: No. 123
N(E_F) in states/eV per cell: 5.1

Cell: 6.217 6.217 6.805 Å, 90.00 90.00 90.00°
Last column: magnetic moment on the atom in μB.
Positions (direct):
1 H 0.500 0.500 0.500  0.38
2 Cl 0.500 0.000 0.000  0.36
3 Cl 0.000 0.500 0.000  0.36
4 Rb 0.000 0.000 0.000  -0.01
5 S 0.000 0.000 0.500  1.15

# 6
Below is Re3HCl at its PBEsol-relaxed geometry, with properties calculated at the meta-GGA SCAN level.

Properties
Total energy in eV per cell: -216.70
Space-group type: No. 221
N(E_F) in states/eV per cell: 4.6

Cell: 3.961 3.961 3.961 Å, 90.00 90.00 90.00°
Positions (direct):
1 Re 0.000 0.000 0.500
2 Re 0.000 0.500 0.000
3 Re 0.500 0.000 0.000
4 Cl 0.500 0.500 0.500
5 H 0.000 0.000 0.000

# 7
Below is HRhCl3 at its PBEsol-relaxed geometry, with properties calculated at the meta-GGA SCAN level.

Properties
Total energy in eV per cell: -57.53
Space-group type: No. 221
N(E_F) in states/eV per cell: 3.1

Cell: 4.229 4.229 4.229 Å, 90.00 90.00 90.00°
Last column: magnetic moment on the atom in μB.
Positions (direct):
1 Rh 0.500 0.500 0.500  2.22
2 Cl 0.000 0.500 0.000  0.24
3 Cl 0.500 0.000 0.000  0.24
4 Cl 0.000 0.000 0.500  0.24
5 H 0.000 0.000 0.000  -0.01

# 8
Below is HRhW2Cl at its PBEsol-relaxed geometry, with properties calculated at the meta-GGA SCAN level.

Properties
Total energy in eV per cell: -176.96
Space-group type: No. 123
N(E_F) in states/eV per cell: 5.3

Cell: 3.050 4.905 4.905 Å, 90.00 90.00 90.00°
Positions (direct):
1 Cl 0.500 0.500 0.500
2 H 0.500 0.000 0.000
3 W 0.000 0.500 0.000
4 W 0.000 0.000 0.500
5 Rh 0.000 0.000 0.000

- total energy of number 1 (H3PtCl)?
  -81.03 eV per cell

Repeat the seventh record exactly.
Below is HRhCl3 at its PBEsol-relaxed geometry, with properties calculated at the meta-GGA SCAN level.

Properties
Total energy in eV per cell: -57.53
Space-group type: No. 221
N(E_F) in states/eV per cell: 3.1

Cell: 4.229 4.229 4.229 Å, 90.00 90.00 90.00°
Last column: magnetic moment on the atom in μB.
Positions (direct):
1 Rh 0.500 0.500 0.500  2.22
2 Cl 0.000 0.500 0.000  0.24
3 Cl 0.500 0.000 0.000  0.24
4 Cl 0.000 0.000 0.500  0.24
5 H 0.000 0.000 0.000  -0.01

- The lowest total energy belongs to which entry?
  HPt3Cl

- Which value of total energy does entry 5 give?
  -47.32 eV per cell